Material: Ac2Y15Ho2
Method: DFT, PBE-GGA
State: optimized geometry

a b c (Å): 11.3443 11.3443 17.8448
angles (deg): 90.00 90.00 120.00
Space group R-3m (No. 166, hexagonal axes)
Asymmetric unit:
1 Ac 0.0000 0.0000 0.1114
2 Y 0.0000 0.3075 0.0000
3 Y 0.0000 0.5000 0.5000
4 Y 0.0183 0.5091 0.1373
5 Ho 0.0000 0.0000 0.3275

Computed properties:
Energy relative to the elements ... 5.7 eV/f.u.